The following is a DFT calculation (SCAN) of a PBEsol-optimized structure of BaMoS2.

Lattice parameters (Å, degrees): 4.8105 4.8105 7.8692 72.20 72.20 60.00
With the nearest neighbours (Å) after each atom.
Fractional positions:
S 0.8969 0.8969 0.3093  1 Mo 2.28
S 0.1031 0.1031 0.6907  1 Mo 2.28
Mo 0.0000 0.0000 0.0000  2 S 2.28
Ba 0.5000 0.5000 0.5000  6 S 3.11

Computed properties:
M_tot   3.96 μB/f.u.
DOS(E_F)   0.97 states/eV per atom
Calculated total energy   -95.8 eV/cell
SG   R-3m

---

The following is a DFT calculation (SCAN) of a PBEsol-optimized structure of BaMoS2.

Lattice parameters (Å, degrees): 5.8356 5.8356 7.5402 112.77 112.77 90.00
With the nearest neighbours (Å) after each atom.
Fractional positions:
S 0.4989 0.8750 0.2500  2 Mo 2.27
S 0.7511 0.3750 0.2500  2 Mo 2.27
S 0.1250 0.2489 0.7500  2 Mo 2.27
S 0.6250 0.5011 0.7500  2 Mo 2.27
Mo 0.7500 0.2500 0.5000  4 S 2.27
Mo 0.5000 0.5000 0.0000  4 S 2.27
Ba 0.2500 0.7500 0.5000  4 S 3.06
Ba 0.0000 0.0000 0.0000  4 S 3.06

Computed properties:
M_tot   0.00 μB/f.u.
DOS(E_F)   0.57 states/eV per atom
Calculated total energy   -194.6 eV/cell
SG   I-42d

---

The following is a DFT calculation (SCAN) of a PBEsol-optimized structure of BaMo6S8.

Lattice parameters (Å, degrees): 6.5673 6.5673 6.5673 88.21 88.21 88.21
With the nearest neighbours (Å) after each atom.
Fractional positions:
Ba 0.0000 0.0000 0.0000  8 S 2.94-3.17
Mo 0.2301 0.4152 0.5663  5 S 2.36-2.56
Mo 0.4152 0.5663 0.2301  5 S 2.36-2.56
Mo 0.5663 0.2301 0.4152  5 S 2.36-2.56
Mo 0.7699 0.5848 0.4337  5 S 2.36-2.56
Mo 0.5848 0.4337 0.7699  5 S 2.36-2.56
Mo 0.4337 0.7699 0.5848  5 S 2.36-2.56
S 0.2508 0.2508 0.2508  3 Mo 2.36
S 0.7492 0.7492 0.7492  3 Mo 2.36
S 0.1230 0.7383 0.3937  4 Mo 2.43-2.56
S 0.7383 0.3937 0.1230  4 Mo 2.43-2.56
S 0.3937 0.1230 0.7383  4 Mo 2.43-2.56
S 0.8770 0.2617 0.6063  4 Mo 2.43-2.56
S 0.2617 0.6063 0.8770  4 Mo 2.43-2.56
S 0.6063 0.8770 0.2617  4 Mo 2.43-2.56

Computed properties:
M_tot   0.00 μB/f.u.
DOS(E_F)   0.70 states/eV per atom
Calculated total energy   -340.9 eV/cell
SG   R-3

---

The following is a DFT calculation (SCAN) of a PBEsol-optimized structure of Ba2TeMoS.

Lattice parameters (Å, degrees): 4.4711 6.0809 6.0809 90.00 90.00 90.00
With the nearest neighbours (Å) after each atom.
Fractional positions:
S 0.0000 0.0000 0.0000  2 Mo 2.24
Mo 0.5000 0.0000 0.0000  2 S 2.24
Te 0.5000 0.5000 0.5000  8 Ba 3.77
Ba 0.0000 0.0000 0.5000  2 S 3.04
Ba 0.0000 0.5000 0.0000  2 S 3.04

Computed properties:
M_tot   2.77 μB/f.u.
DOS(E_F)   0.47 states/eV per atom
Calculated total energy   -164.7 eV/cell
SG   P4/mmm

---

The following is a DFT calculation (SCAN) of a PBEsol-optimized structure of BaSbMo2.

Lattice parameters (Å, degrees): 3.3042 3.3042 8.2739 90.00 90.00 90.00
With the nearest neighbours (Å) after each atom.
Fractional positions:
Ba 0.5000 0.5000 0.7688  4 Ba 3.30, 4 Mo 3.44, 4 Sb 3.63
Mo 0.0000 0.0000 0.0742  4 Mo 2.64
Mo 0.5000 0.5000 0.2239  4 Mo 2.64, 4 Sb 2.91
Sb 0.0000 0.0000 0.4332  5 Mo 2.91-2.97

Computed properties:
M_tot   0.00 μB/f.u.
DOS(E_F)   0.65 states/eV per atom
Calculated total energy   -145.6 eV/cell
SG   P4mm

---

The following is a DFT calculation (SCAN) of a PBEsol-optimized structure of BaSb2Mo.

Lattice parameters (Å, degrees): 3.2335 4.2851 8.1635 90.00 90.00 90.00
With the nearest neighbours (Å) after each atom.
Fractional positions:
Ba 0.0000 0.0000 0.4888  2 Ba 3.23, 5 Sb 3.37-3.45
Mo 0.5000 0.5000 0.8862  5 Sb 2.69-2.75
Sb 0.0000 0.0000 0.9022  4 Mo 2.69
Sb 0.5000 0.5000 0.2228  1 Mo 2.75

Computed properties:
M_tot   0.00 μB/f.u.
DOS(E_F)   0.72 states/eV per atom
Calculated total energy   -148.4 eV/cell
SG   Pmm2

---

- Look up the DOS(E_F) of the third one.
  0.70 states/eV per atom

---

- What is the M_tot in the sixth record?
  0.00 μB/f.u.